A plane-wave DFT calculation with PBE was carried out for crystalline CaHo2InAu4 at its relaxed geometry.

Unit cell a=8.740 b=8.740 c=8.740 alpha=33.18 beta=33.18 gamma=33.18
Fractional coordinates of all 8 atoms:
1 Ca 0.000 0.000 0.000
2 Ho 0.245 0.245 0.245
3 Ho 0.755 0.755 0.755
4 In 0.500 0.500 0.500
5 Au 0.122 0.122 0.122
6 Au 0.373 0.373 0.373
7 Au 0.627 0.627 0.627
8 Au 0.878 0.878 0.878

Summary:
theoretical density = 11.872 g/cm3
N(E_F) = 0.493 states/eV/atom
energy = -4.1418 eV per atom
E_form = -0.77 eV per atom

A plane-wave DFT calculation with PBE was carried out for crystalline CaHoInAu at its relaxed geometry.

Unit cell a=5.230 b=5.230 c=5.230 alpha=60.00 beta=60.00 gamma=60.00
Fractional coordinates of all 4 atoms:
1 Ca 0.000 0.000 0.000
2 Ho 0.500 0.500 0.500
3 In 0.250 0.250 0.250
4 Au 0.750 0.750 0.750

Summary:
theoretical density = 8.485 g/cm3
N(E_F) = 0.904 states/eV/atom
energy = -3.7521 eV per atom
E_form = -0.60 eV per atom

A plane-wave DFT calculation with PBE was carried out for crystalline CaHoIrAu at its relaxed geometry.

Unit cell a=4.943 b=4.943 c=4.943 alpha=60.00 beta=60.00 gamma=60.00
Fractional coordinates of all 4 atoms:
1 Ca 0.000 0.000 0.000
2 Ho 0.500 0.500 0.500
3 Ir 0.750 0.750 0.750
4 Au 0.250 0.250 0.250

Summary:
theoretical density = 11.552 g/cm3
N(E_F) = 0.757 states/eV/atom
energy = -5.3465 eV per atom
E_form = -0.67 eV per atom

A plane-wave DFT calculation with PBE was carried out for crystalline CaHo2MgAu4 at its relaxed geometry.

Unit cell a=8.655 b=8.655 c=8.655 alpha=33.46 beta=33.46 gamma=33.46
Fractional coordinates of all 8 atoms:
1 Ca 0.000 0.000 0.000
2 Ho 0.247 0.247 0.247
3 Ho 0.753 0.753 0.753
4 Mg 0.500 0.500 0.500
5 Au 0.126 0.126 0.126
6 Au 0.379 0.379 0.379
7 Au 0.621 0.621 0.621
8 Au 0.874 0.874 0.874

Summary:
theoretical density = 11.180 g/cm3
N(E_F) = 0.604 states/eV/atom
energy = -4.0257 eV per atom
E_form = -0.79 eV per atom

A plane-wave DFT calculation with PBE was carried out for crystalline NaCaHo2Au4 at its relaxed geometry.

Unit cell a=8.710 b=8.710 c=8.710 alpha=33.59 beta=33.59 gamma=33.59
Fractional coordinates of all 8 atoms:
1 Na 0.000 0.000 0.000
2 Ca 0.500 0.500 0.500
3 Ho 0.253 0.253 0.253
4 Ho 0.747 0.747 0.747
5 Au 0.127 0.127 0.127
6 Au 0.377 0.377 0.377
7 Au 0.623 0.623 0.623
8 Au 0.873 0.873 0.873

Summary:
theoretical density = 10.884 g/cm3
N(E_F) = 0.595 states/eV/atom
energy = -3.9015 eV per atom
E_form = -0.70 eV per atom

A plane-wave DFT calculation with PBE was carried out for crystalline CaHoPdAu at its relaxed geometry.

Unit cell a=5.018 b=5.018 c=5.018 alpha=60.00 beta=60.00 gamma=60.00
Fractional coordinates of all 4 atoms:
1 Ca 0.000 0.000 0.000
2 Ho 0.500 0.500 0.500
3 Pd 0.750 0.750 0.750
4 Au 0.250 0.250 0.250

Summary:
theoretical density = 9.449 g/cm3
N(E_F) = 0.369 states/eV/atom
energy = -4.5618 eV per atom
E_form = -0.80 eV per atom

A plane-wave DFT calculation with PBE was carried out for crystalline CaHoPdAu at its relaxed geometry.

Unit cell a=4.515 b=5.793 c=5.793 alpha=38.61 beta=90.00 gamma=90.00
Fractional coordinates of all 4 atoms:
1 Ca 0.000 0.000 0.000
2 Ho 0.500 0.722 0.722
3 Pd 0.000 0.270 0.270
4 Au 0.500 0.440 0.440

Summary:
theoretical density = 8.928 g/cm3
N(E_F) = 0.708 states/eV/atom
energy = -4.5850 eV per atom
E_form = -0.82 eV per atom

A plane-wave DFT calculation with PBE was carried out for crystalline CaHoSbAu at its relaxed geometry.

Unit cell a=5.238 b=5.238 c=5.238 alpha=60.00 beta=60.00 gamma=60.00
Fractional coordinates of all 4 atoms:
1 Ca 0.000 0.000 0.000
2 Ho 0.500 0.500 0.500
3 Sb 0.750 0.750 0.750
4 Au 0.250 0.250 0.250

Summary:
theoretical density = 8.558 g/cm3
N(E_F) = 0.747 states/eV/atom
energy = -4.2838 eV per atom
uncorrected formation energy = -789 meV per atom

A plane-wave DFT calculation with PBE was carried out for crystalline Ca2HoSi3Au12 at its relaxed geometry.

Unit cell a=7.841 b=7.841 c=7.841 alpha=69.61 beta=69.61 gamma=69.61
Fractional coordinates of all 18 atoms:
1 Ca 0.094 0.094 0.094
2 Ca 0.906 0.906 0.906
3 Ho 0.500 0.500 0.500
4 Si 0.000 0.500 0.500
5 Si 0.500 0.000 0.500
6 Si 0.500 0.500 0.000
7 Au 0.106 0.655 0.655
8 Au 0.197 0.197 0.650
9 Au 0.197 0.650 0.197
10 Au 0.345 0.345 0.894
11 Au 0.345 0.894 0.345
12 Au 0.350 0.803 0.803
13 Au 0.650 0.197 0.197
14 Au 0.655 0.106 0.655
15 Au 0.655 0.655 0.106
16 Au 0.803 0.350 0.803
17 Au 0.803 0.803 0.350
18 Au 0.894 0.345 0.345

Summary:
theoretical density = 10.930 g/cm3
N(E_F) = 0.287 states/eV/atom
energy = -3.7622 eV per atom
uncorrected formation energy = -197 meV per atom

A plane-wave DFT calculation with PBE was carried out for crystalline CaHoSnAu at its relaxed geometry.

Unit cell a=5.238 b=5.238 c=5.238 alpha=60.00 beta=60.00 gamma=60.00
Fractional coordinates of all 4 atoms:
1 Ca 0.000 0.000 0.000
2 Ho 0.500 0.500 0.500
3 Sn 0.750 0.750 0.750
4 Au 0.250 0.250 0.250

Summary:
theoretical density = 8.508 g/cm3
N(E_F) = 0.391 states/eV/atom
energy = -4.2088 eV per atom
E_form = -0.74 eV per atom

A plane-wave DFT calculation with PBE was carried out for crystalline SrCa2HoAu4 at its relaxed geometry.

Unit cell a=9.083 b=9.083 c=9.083 alpha=33.05 beta=33.05 gamma=33.05
Fractional coordinates of all 8 atoms:
1 Sr 0.000 0.000 0.000
2 Ca 0.250 0.250 0.250
3 Ca 0.750 0.750 0.750
4 Ho 0.500 0.500 0.500
5 Au 0.132 0.132 0.132
6 Au 0.383 0.383 0.383
7 Au 0.617 0.617 0.617
8 Au 0.868 0.868 0.868

Summary:
theoretical density = 9.381 g/cm3
N(E_F) = 0.652 states/eV/atom
energy = -3.7093 eV per atom
E_form = -0.79 eV per atom

A plane-wave DFT calculation with PBE was carried out for crystalline CaTbHo2Au4 at its relaxed geometry.

Unit cell a=8.847 b=8.847 c=8.847 alpha=33.38 beta=33.38 gamma=33.38
Fractional coordinates of all 8 atoms:
1 Ca 0.000 0.000 0.000
2 Tb 0.500 0.500 0.500
3 Ho 0.252 0.252 0.252
4 Ho 0.748 0.748 0.748
5 Au 0.130 0.130 0.130
6 Au 0.378 0.378 0.378
7 Au 0.622 0.622 0.622
8 Au 0.870 0.870 0.870

Summary:
theoretical density = 11.715 g/cm3
N(E_F) = 0.548 states/eV/atom
energy = -4.4573 eV per atom
E_form = -0.85 eV per atom

A plane-wave DFT calculation with PBE was carried out for crystalline CaHoTlAu at its relaxed geometry.

Unit cell a=5.245 b=5.245 c=5.245 alpha=60.00 beta=60.00 gamma=60.00
Fractional coordinates of all 4 atoms:
1 Ca 0.000 0.000 0.000
2 Ho 0.500 0.500 0.500
3 Tl 0.250 0.250 0.250
4 Au 0.750 0.750 0.750

Summary:
theoretical density = 9.869 g/cm3
N(E_F) = 0.906 states/eV/atom
energy = -3.6269 eV per atom
E_form = -0.57 eV per atom

A plane-wave DFT calculation with PBE was carried out for crystalline CaHoTlAu at its relaxed geometry.

Unit cell a=3.710 b=3.710 c=7.542 alpha=90.00 beta=90.00 gamma=90.00
Fractional coordinates of all 4 atoms:
1 Ca 0.000 0.000 0.000
2 Ho 0.000 0.000 0.460
3 Tl 0.500 0.500 0.724
4 Au 0.500 0.500 0.260

Summary:
theoretical density = 9.698 g/cm3
N(E_F) = 0.408 states/eV/atom
energy = -3.6800 eV per atom
E_form = -0.62 eV per atom

A plane-wave DFT calculation with PBE was carried out for crystalline CaHo2ZnAu4 at its relaxed geometry.

Unit cell a=8.606 b=8.606 c=8.606 alpha=33.42 beta=33.42 gamma=33.42
Fractional coordinates of all 8 atoms:
1 Ca 0.000 0.000 0.000
2 Ho 0.243 0.243 0.243
3 Ho 0.757 0.757 0.757
4 Zn 0.500 0.500 0.500
5 Au 0.123 0.123 0.123
6 Au 0.378 0.378 0.378
7 Au 0.622 0.622 0.622
8 Au 0.877 0.877 0.877

Summary:
theoretical density = 11.795 g/cm3
N(E_F) = 0.549 states/eV/atom
energy = -3.9087 eV per atom
E_form = -0.72 eV per atom

A plane-wave DFT calculation with PBE was carried out for crystalline CaAuI3 at its relaxed geometry.

Unit cell a=5.716 b=5.716 c=5.716 alpha=90.00 beta=90.00 gamma=90.00
Fractional coordinates of all 5 atoms:
1 Ca 0.000 0.000 0.000
2 Au 0.500 0.500 0.500
3 I 0.000 0.500 0.500
4 I 0.500 0.000 0.500
5 I 0.500 0.500 0.000

Summary:
theoretical density = 5.493 g/cm3
N(E_F) = 0.224 states/eV/atom
energy = -2.4192 eV per atom
uncorrected formation energy = -433 meV per atom

A plane-wave DFT calculation with PBE was carried out for crystalline Ca3Au5I12 at its relaxed geometry.

Unit cell a=15.621 b=15.621 c=15.621 alpha=109.47 beta=109.47 gamma=109.47
Fractional coordinates of all 80 atoms:
1 Ca 0.125 0.250 0.375
2 Ca 0.125 0.375 0.750
3 Ca 0.250 0.375 0.125
4 Ca 0.250 0.875 0.625
5 Ca 0.375 0.125 0.250
6 Ca 0.375 0.750 0.125
7 Ca 0.625 0.250 0.875
8 Ca 0.625 0.875 0.750
9 Ca 0.750 0.125 0.375
10 Ca 0.750 0.625 0.875
11 Ca 0.875 0.625 0.250
12 Ca 0.875 0.750 0.625
13 Au 0.000 0.000 0.000
14 Au 0.000 0.000 0.500
15 Au 0.000 0.500 0.000
16 Au 0.000 0.500 0.500
17 Au 0.125 0.750 0.875
18 Au 0.125 0.875 0.250
19 Au 0.250 0.125 0.875
20 Au 0.250 0.625 0.375
21 Au 0.375 0.250 0.625
22 Au 0.375 0.625 0.750
23 Au 0.500 0.000 0.000
24 Au 0.500 0.000 0.500
25 Au 0.500 0.500 0.000
26 Au 0.500 0.500 0.500
27 Au 0.625 0.375 0.250
28 Au 0.625 0.750 0.375
29 Au 0.750 0.375 0.625
30 Au 0.750 0.875 0.125
31 Au 0.875 0.125 0.750
32 Au 0.875 0.250 0.125
33 I 0.038 0.214 0.128
34 I 0.038 0.324 0.911
35 I 0.086 0.714 0.676
36 I 0.086 0.872 0.411
37 I 0.089 0.628 0.414
38 I 0.089 0.962 0.676
39 I 0.128 0.038 0.214
40 I 0.128 0.589 0.914
41 I 0.176 0.214 0.586
42 I 0.176 0.462 0.589
43 I 0.214 0.128 0.038
44 I 0.214 0.586 0.176
45 I 0.286 0.324 0.914
46 I 0.286 0.462 0.372
47 I 0.324 0.911 0.038
48 I 0.324 0.914 0.286
49 I 0.372 0.286 0.462
50 I 0.372 0.586 0.911
51 I 0.411 0.086 0.872
52 I 0.411 0.824 0.538
53 I 0.414 0.089 0.628
54 I 0.414 0.824 0.786
55 I 0.462 0.372 0.286
56 I 0.462 0.589 0.176
57 I 0.538 0.411 0.824
58 I 0.538 0.628 0.714
59 I 0.586 0.176 0.214
60 I 0.586 0.911 0.372
61 I 0.589 0.176 0.462
62 I 0.589 0.914 0.128
63 I 0.628 0.414 0.089
64 I 0.628 0.714 0.538
65 I 0.676 0.086 0.714
66 I 0.676 0.089 0.962
67 I 0.714 0.538 0.628
68 I 0.714 0.676 0.086
69 I 0.786 0.414 0.824
70 I 0.786 0.872 0.962
71 I 0.824 0.538 0.411
72 I 0.824 0.786 0.414
73 I 0.872 0.411 0.086
74 I 0.872 0.962 0.786
75 I 0.911 0.038 0.324
76 I 0.911 0.372 0.586
77 I 0.914 0.128 0.589
78 I 0.914 0.286 0.324
79 I 0.962 0.676 0.089
80 I 0.962 0.786 0.872

Summary:
theoretical density = 5.949 g/cm3
N(E_F) = 0.468 states/eV/atom
energy = -2.6391 eV per atom
uncorrected formation energy = -589 meV per atom

A plane-wave DFT calculation with PBE was carried out for crystalline Ca2Au2I at its relaxed geometry.

Unit cell a=8.463 b=8.463 c=3.970 alpha=90.00 beta=90.00 gamma=90.00
Fractional coordinates of all 10 atoms:
1 Ca 0.171 0.329 0.000
2 Ca 0.329 0.829 0.000
3 Ca 0.671 0.171 0.000
4 Ca 0.829 0.671 0.000
5 Au 0.120 0.620 0.500
6 Au 0.380 0.120 0.500
7 Au 0.620 0.880 0.500
8 Au 0.880 0.380 0.500
9 I 0.000 0.000 0.000
10 I 0.500 0.500 0.000

Summary:
theoretical density = 7.019 g/cm3
N(E_F) = 0.512 states/eV/atom
energy = -3.2478 eV per atom
uncorrected formation energy = -826 meV per atom

A plane-wave DFT calculation with PBE was carried out for crystalline Ca2Au2I at its relaxed geometry.

Unit cell a=8.400 b=8.400 c=3.849 alpha=90.00 beta=90.00 gamma=90.00
Fractional coordinates of all 10 atoms:
1 Ca 0.172 0.328 0.000
2 Ca 0.328 0.828 0.000
3 Ca 0.672 0.172 0.000
4 Ca 0.828 0.672 0.000
5 Au 0.120 0.620 0.500
6 Au 0.380 0.120 0.500
7 Au 0.620 0.880 0.500
8 Au 0.880 0.380 0.500
9 I 0.000 0.000 0.500
10 I 0.500 0.500 0.500

Summary:
theoretical density = 7.349 g/cm3
N(E_F) = 0.385 states/eV/atom
energy = -3.2287 eV per atom
uncorrected formation energy = -807 meV per atom

A plane-wave DFT calculation with PBE was carried out for crystalline Ca2Au2I at its relaxed geometry.

Unit cell a=6.603 b=6.603 c=6.603 alpha=132.53 beta=132.53 gamma=69.40
Fractional coordinates of all 5 atoms:
1 Ca 0.250 0.750 0.500
2 Ca 0.750 0.250 0.500
3 Au 0.126 0.126 0.000
4 Au 0.874 0.874 0.000
5 I 0.500 0.500 0.000

Summary:
theoretical density = 6.504 g/cm3
N(E_F) = 0.745 states/eV/atom
energy = -3.1074 eV per atom
uncorrected formation energy = -686 meV per atom

A plane-wave DFT calculation with PBE was carried out for crystalline CaAuI6 at its relaxed geometry.

Unit cell a=6.262 b=7.881 c=8.450 alpha=86.57 beta=71.71 gamma=84.96
Fractional coordinates of all 8 atoms:
1 Ca 0.000 0.000 0.000
2 Au 0.500 0.500 0.000
3 I 0.049 0.119 0.620
4 I 0.268 0.322 0.828
5 I 0.453 0.783 0.824
6 I 0.547 0.217 0.176
7 I 0.732 0.678 0.172
8 I 0.951 0.881 0.380

Summary:
theoretical density = 4.206 g/cm3
N(E_F) = 0.226 states/eV/atom
energy = -2.3849 eV per atom
uncorrected formation energy = -562 meV per atom

A plane-wave DFT calculation with PBE was carried out for crystalline CaAuI3 at its relaxed geometry.

Unit cell a=6.056 b=6.056 c=6.056 alpha=90.00 beta=90.00 gamma=90.00
Fractional coordinates of all 5 atoms:
1 Ca 0.000 0.000 0.000
2 Au 0.500 0.500 0.500
3 I 0.000 0.000 0.500
4 I 0.000 0.500 0.000
5 I 0.500 0.000 0.000

Summary:
theoretical density = 4.620 g/cm3
N(E_F) = 0.624 states/eV/atom
energy = -2.3094 eV per atom
uncorrected formation energy = -324 meV per atom